--- i ---
Computed, not measured: crystalline YCoGePd at its relaxed geometry at the PBE level of DFT.

Unit cell a=6.5730 b=6.5730 c=6.5730 alpha=90.00 beta=90.00 gamma=90.00
Space group F-43m (No. 216)
Symmetry-distinct sites (fractional):
Y 0.0000 0.0000 0.0000 [4 per cell]
Co 0.0000 0.0000 0.5000 [4 per cell]
Ge 0.2500 0.2500 0.2500 [4 per cell]
Pd 0.2500 0.2500 0.7500 [4 per cell]

## Properties
* V: 17.7 A^3/atom
* calculated density: 7.65 g/cm³


--- ii ---
Computed, not measured: crystalline YCoGePd at its relaxed geometry at the PBE level of DFT.

Unit cell a=6.4619 b=6.4619 c=6.4619 alpha=90.00 beta=90.00 gamma=90.00
Space group F-43m (No. 216)
Symmetry-distinct sites (fractional):
Y 0.0000 0.0000 0.0000 [4 per cell]
Co 0.2500 0.2500 0.7500 [4 per cell]
Ge 0.0000 0.0000 0.5000 [4 per cell]
Pd 0.2500 0.2500 0.2500 [4 per cell]

## Properties
* V: 16.9 A^3/atom
* calculated density: 8.05 g/cm³


Most stable structure - ii; separation to the second - 0.141 eV/atom.


--- i ---
Computed, not measured: crystalline ScCoGePt at its relaxed geometry at the PBE level of DFT.

Unit cell a=6.3090 b=6.3090 c=6.3090 alpha=90.00 beta=90.00 gamma=90.00
Space group F-43m (No. 216)
Symmetry-distinct sites (fractional):
Sc 0.0000 0.0000 0.0000 [4 per cell]
Co 0.0000 0.0000 0.5000 [4 per cell]
Ge 0.2500 0.2500 0.2500 [4 per cell]
Pt 0.2500 0.2500 0.7500 [4 per cell]

## Properties
* V: 15.7 A^3/atom
* calculated density: 9.83 g/cm³


--- ii ---
Computed, not measured: crystalline ScCoGePt at its relaxed geometry at the PBE level of DFT.

Unit cell a=6.2438 b=6.2438 c=6.2438 alpha=90.00 beta=90.00 gamma=90.00
Space group F-43m (No. 216)
Symmetry-distinct sites (fractional):
Sc 0.0000 0.0000 0.0000 [4 per cell]
Co 0.2500 0.2500 0.7500 [4 per cell]
Ge 0.0000 0.0000 0.5000 [4 per cell]
Pt 0.2500 0.2500 0.2500 [4 per cell]

## Properties
* V: 15.2 A^3/atom
* calculated density: 10.14 g/cm³


Most stable structure - ii; separation to the second - 0.195 eV/atom.